Crystalline MgTiZn2 at its relaxed geometry. Source: the Alexandria database, functional PBE-GGA. Values from VASP.

VASP energy, eV/cell: -21.89
Symmetry: No. 122
Mass density, g cm⁻³: 4.57
Total moment, μB/atom: 0.00
DOS at the Fermi energy, states/eV per atom: 0.7954

Cell and atoms, written as Quantum ESPRESSO input:
```
&SYSTEM
  ibrav = 0, nat = 8, ntyp = 3
/
ATOMIC_SPECIES
Mg 24.30 Mg.upf
Zn 65.41 Zn.upf
Ti 47.87 Ti.upf
CELL_PARAMETERS angstrom
7.125 0.000 0.000
0.000 7.125 0.000
3.563 3.563 2.905
ATOMIC_POSITIONS angstrom
Mg 3.563 7.125 1.452
Mg 3.563 3.563 0.000
Zn 8.907 8.935 2.179
Zn 5.344 5.316 2.179
Zn 1.754 5.344 0.726
Zn 5.372 1.781 0.726
Ti 0.000 0.000 0.000
Ti 7.125 3.563 1.452
```